(1)
Computed, not measured: BeTe2Os at its PBEsol-relaxed geometry at the SCAN level of DFT.

Calculated values
The calculation puts the raw formation energy at 327 meV per atom. The volume comes out at 92.5 Å³/f.u.

Cell: 6.7685 6.7685 6.7685 Å, 128.43 128.43 75.93°
Last column: nearest neighbours and their distance in Å.
Fractional coordinates of all 8 atoms:
Be1 0.0000 0.0000 0.0000  4 Te 2.40
Be2 0.7500 0.2500 0.5000  4 Te 2.40
Te1 0.1042 0.6250 0.9792  2 Be 2.40, 2 Os 2.55
Te2 0.3750 0.3542 0.4792  2 Be 2.40, 2 Os 2.55
Te3 0.6458 0.1250 0.0208  2 Be 2.40, 2 Os 2.55
Te4 0.8750 0.8958 0.5208  2 Be 2.40, 2 Os 2.55
Os1 0.2500 0.7500 0.5000  4 Te 2.55
Os2 0.5000 0.5000 0.0000  4 Te 2.55

=====

(2)
Computed, not measured: BeTeOs at its PBEsol-relaxed geometry at the SCAN level of DFT.

Calculated values
The calculation puts the raw formation energy at 536 meV per atom. The volume comes out at 47.4 Å³/f.u.

Cell: 3.0982 3.0982 5.7005 Å, 90.00 90.00 120.00°
Last column: nearest neighbours and their distance in Å.
Fractional coordinates of all 3 atoms:
Be1 0.0000 0.0000 0.0000  3 Os 2.37
Te1 0.6667 0.3333 0.3764  3 Os 2.69, 3 Be 2.79
Os1 0.3333 0.6667 0.7280  3 Be 2.37

=====

(3)
Computed, not measured: Be2TeOs at its PBEsol-relaxed geometry at the SCAN level of DFT.

Calculated values
The calculation puts the raw formation energy at 174 meV per atom. The volume comes out at 61.6 Å³/f.u.

Cell: 2.9369 2.9245 7.1678 Å, 90.00 91.14 90.00°
Last column: nearest neighbours and their distance in Å.
Fractional coordinates of all 4 atoms:
Be1 0.0081 0.0000 0.1531  1 Be 2.20, 4 Os 2.34-2.35
Be2 0.9919 0.0000 0.8469  1 Be 2.20, 4 Os 2.34-2.35
Te1 0.0000 0.5000 0.5000  4 Be 2.88, 4 Te 2.92-2.94
Os1 0.5000 0.5000 0.0000  8 Be 2.34-2.35

=====

(4)
Computed, not measured: Be2TeOs at its PBEsol-relaxed geometry at the SCAN level of DFT.

Calculated values
The calculation puts the raw formation energy at 648 meV per atom. The volume comes out at 57.7 Å³/f.u.

Cell: 4.9071 4.9071 3.1613 Å, 107.61 107.61 114.22°
Last column: nearest neighbours and their distance in Å.
Fractional coordinates of all 4 atoms:
Be1 0.0000 0.5000 0.0000  2 Te 2.45, 2 Os 2.45, 2 Be 2.66
Be2 0.5000 0.0000 0.0000  2 Te 2.45, 2 Os 2.45, 2 Be 2.66
Te1 0.0000 0.0000 0.0000  4 Be 2.45, 2 Os 2.66
Os1 0.5000 0.5000 0.0000  4 Be 2.45, 2 Te 2.66

=====

(5)
Computed, not measured: TiBe2Os2 at its PBEsol-relaxed geometry at the SCAN level of DFT.

Calculated values
The volume comes out at 57.4 Å³/f.u. Its formation energy is -571 meV/atom.

Cell: 6.2226 6.2226 2.9639 Å, 90.00 90.00 90.00°
Last column: nearest neighbours and their distance in Å.
Fractional coordinates of all 10 atoms:
Ti1 0.0000 0.0000 0.0000  4 Be 2.48, 8 Os 2.74
Ti2 0.5000 0.5000 0.0000  4 Be 2.48, 8 Os 2.74
Be1 0.1203 0.3797 0.0000  1 Be 2.12, 6 Os 2.36
Be2 0.3797 0.8797 0.0000  1 Be 2.12, 6 Os 2.36
Be3 0.6203 0.1203 0.0000  1 Be 2.12, 6 Os 2.36
Be4 0.8797 0.6203 0.0000  1 Be 2.12, 6 Os 2.36
Os1 0.1708 0.6708 0.5000  6 Be 2.36
Os2 0.3292 0.1708 0.5000  6 Be 2.36
Os3 0.6708 0.8292 0.5000  6 Be 2.36
Os4 0.8292 0.3292 0.5000  6 Be 2.36

=====

(6)
Computed, not measured: BeTlOs2 at its PBEsol-relaxed geometry at the SCAN level of DFT.

Calculated values
The volume comes out at 63.9 Å³/f.u. Its formation energy is 647 meV/atom. The energy above the lowest structure with this stoichiometry comes out at 0 meV per atom.

Cell: 4.3615 4.3615 5.4723 Å, 97.05 97.05 38.23°
Last column: nearest neighbours and their distance in Å.
Fractional coordinates of all 4 atoms:
Be1 0.0000 0.0000 0.0000  5 Os 2.35-2.46
Tl1 0.7703 0.7703 0.3261  3 Be 2.76-3.03, 2 Tl 2.86, 5 Os 2.91-2.99
Os1 0.2704 0.2704 0.8561  3 Be 2.42-2.46, 3 Os 2.48-2.57
Os2 0.5271 0.5271 0.6658  2 Be 2.35, 3 Os 2.48-2.57